No. 1
This record from Alexandria via LeMat-Bulk describes a geometry-optimized PaGeIr2 structure. The functional is PBE.

Cell: 4.1977 4.1977 5.4675 Å, 67.43 67.43 60.00°
Positions (direct):
Ge 0.5000 0.5000 0.5000
Pa 0.0000 0.0000 0.0000
Ir 0.7795 0.7795 0.6615
Ir 0.2205 0.2205 0.3385

Properties
Fermi-level density of states, states/eV per cell: 3.025
Total magnetic moment, μB per formula unit: 0.0
SG: R-3m (166)

No. 2
This record from Alexandria via LeMat-Bulk describes a geometry-optimized Pa3Ge3Ir2 structure. The functional is PBE.

Cell: 4.2882 5.6048 14.5814 Å, 90.00 90.00 112.49°
Positions (direct):
Pa 0.9123 0.8246 0.3912
Pa 0.0877 0.1754 0.8912
Pa 0.9123 0.8246 0.1088
Pa 0.0877 0.1754 0.6088
Pa 0.6417 0.2833 0.2500
Pa 0.3583 0.7167 0.7500
Ge 0.6179 0.2358 0.4640
Ge 0.3821 0.7642 0.9640
Ge 0.6179 0.2358 0.0360
Ge 0.3821 0.7642 0.5360
Ge 0.3592 0.7184 0.2500
Ge 0.6408 0.2816 0.7500
Ir 0.8007 0.6015 0.8888
Ir 0.1993 0.3985 0.3888
Ir 0.8007 0.6015 0.6112
Ir 0.1993 0.3985 0.1112

Properties
Fermi-level density of states, states/eV per cell: 16.410
Total magnetic moment, μB per formula unit: 0.0
SG: Cmcm (63)

No. 3
This record from Alexandria via LeMat-Bulk describes a geometry-optimized PaGeIr2 structure. The functional is PBE.

Cell: 3.8536 5.7315 4.5371 Å, 128.97 90.01 90.00°
Positions (direct):
Pa 0.5000 0.5000 0.0000
Ge 0.5000 0.0000 0.0000
Ir 0.9999 0.7731 0.5447
Ir 0.0001 0.2269 0.4553

Properties
Fermi-level density of states, states/eV per cell: 2.707
Total magnetic moment, μB per formula unit: 0.0
SG: P2/m (10)

No. 4
This record from Alexandria via LeMat-Bulk describes a geometry-optimized Pa2GeIr structure. The functional is PBE.

Cell: 3.7174 3.7174 6.0483 Å, 90.00 90.00 90.00°
Positions (direct):
Ge 0.5000 0.5000 0.5000
Pa 0.0000 0.0000 0.7515
Pa 0.0000 0.0000 0.2485
Ir 0.5000 0.5000 0.0000

Properties
Fermi-level density of states, states/eV per cell: 5.388
Total magnetic moment, μB per formula unit: 0.0
SG: P4/mmm (123)

No. 5
This record from Alexandria via LeMat-Bulk describes a geometry-optimized Pa3Ge3Ir structure. The functional is PBE.

Cell: 4.2032 5.7020 13.6463 Å, 84.62 81.14 68.37°
Positions (direct):
Pa 0.5274 0.3248 0.6203
Pa 0.4726 0.6752 0.3797
Pa 0.2611 0.2434 0.2344
Pa 0.7389 0.7566 0.7656
Pa 0.4000 0.2762 0.9238
Pa 0.6000 0.7238 0.0762
Ge 0.8636 0.7361 0.5366
Ge 0.1364 0.2639 0.4634
Ge 0.1263 0.8246 0.9228
Ge 0.8737 0.1754 0.0772
Ge 0.9859 0.7978 0.2303
Ge 0.0141 0.2022 0.7697
Ir 0.7594 0.1025 0.3786
Ir 0.2406 0.8975 0.6214

Properties
Fermi-level density of states, states/eV per cell: 17.770
Total magnetic moment, μB per formula unit: 0.0
SG: C2/m (12)

No. 6
This record from Alexandria via LeMat-Bulk describes a geometry-optimized Pa2Ge8Ir structure. The functional is PBE.

Cell: 4.3279 4.3279 11.2116 Å, 90.00 90.00 90.00°
Positions (direct):
Ge 0.0000 0.5000 0.5000
Ge 0.5000 0.0000 0.5000
Ge 0.5000 0.5000 0.3117
Ge 0.5000 0.5000 0.6883
Ge 0.0000 0.5000 0.1267
Ge 0.5000 0.0000 0.1267
Ge 0.0000 0.5000 0.8733
Ge 0.5000 0.0000 0.8733
Pa 0.0000 0.0000 0.3171
Pa 0.0000 0.0000 0.6829
Ir 0.0000 0.0000 0.0000

Properties
Fermi-level density of states, states/eV per cell: 6.778
Total magnetic moment, μB per formula unit: 0.0
SG: P4/mmm (123)

No. 7
This record from Alexandria via LeMat-Bulk describes a geometry-optimized Pa4Ge8Ir structure. The functional is PBE.

Cell: 4.0678 4.1243 16.1102 Å, 90.00 90.00 90.00°
Positions (direct):
Pa 0.0000 0.0000 0.0968
Pa 0.0000 0.5000 0.6123
Pa 0.5000 0.5000 0.3979
Pa 0.5000 0.0000 0.8914
Ge 0.0000 0.0000 0.4696
Ge 0.0000 0.5000 0.9362
Ge 0.5000 0.5000 0.0463
Ge 0.5000 0.0000 0.5683
Ge 0.0000 0.5000 0.2305
Ge 0.0000 0.0000 0.7531
Ge 0.5000 0.0000 0.2299
Ge 0.5000 0.5000 0.7516
Ir 0.0000 0.0000 0.3191

Properties
Fermi-level density of states, states/eV per cell: 13.967
Total magnetic moment, μB per formula unit: 0.0
SG: Pmm2 (25)

No. 8
This record from Alexandria via LeMat-Bulk describes a geometry-optimized Pa2Ge3Ir4Pt structure. The functional is PBE.

Cell: 4.0153 4.0153 11.3475 Å, 90.00 90.00 90.00°
Positions (direct):
Pa 0.5000 0.0000 0.2600
Pa 0.0000 0.5000 0.7400
Ge 0.0000 0.0000 0.5000
Ge 0.5000 0.0000 0.8773
Ge 0.0000 0.5000 0.1227
Ir 0.5000 0.5000 0.0000
Ir 0.0000 0.0000 0.0000
Ir 0.5000 0.0000 0.6669
Ir 0.0000 0.5000 0.3331
Pt 0.5000 0.5000 0.5000

Properties
Fermi-level density of states, states/eV per cell: 9.173
Total magnetic moment, μB per formula unit: 0.0
SG: P-4m2 (115)

No. 9
This record from Alexandria via LeMat-Bulk describes a geometry-optimized Pa2Ge4IrRh3 structure. The functional is PBE.

Cell: 4.1804 4.1804 10.1651 Å, 90.00 90.00 90.00°
Positions (direct):
Pa 0.5000 0.0000 0.2520
Pa 0.0000 0.5000 0.7480
Ge 0.5000 0.5000 0.0000
Ge 0.0000 0.0000 0.0000
Ge 0.5000 0.0000 0.6357
Ge 0.0000 0.5000 0.3643
Ir 0.5000 0.5000 0.5000
Rh 0.0000 0.0000 0.5000
Rh 0.5000 0.0000 0.8705
Rh 0.0000 0.5000 0.1295

Properties
Fermi-level density of states, states/eV per cell: 3.908
Total magnetic moment, μB per formula unit: 0.0
SG: P-4m2 (115)

No. 10
This record from Alexandria via LeMat-Bulk describes a geometry-optimized PaGe2IrRh structure. The functional is PBE.

Cell: 4.5947 5.5527 7.8666 Å, 80.84 73.02 65.56°
Positions (direct):
Pa 0.8033 0.6837 0.7096
Pa 0.1967 0.3163 0.2904
Ge 0.4084 0.7472 0.4360
Ge 0.5916 0.2528 0.5640
Ge 0.8493 0.2688 0.0327
Ge 0.1507 0.7312 0.9673
Ir 0.1084 0.0861 0.6971
Ir 0.8916 0.9139 0.3029
Rh 0.4273 0.2429 0.9024
Rh 0.5727 0.7571 0.0976

Properties
Fermi-level density of states, states/eV per cell: 5.078
Total magnetic moment, μB per formula unit: 0.0
SG: C2/m (12)

No. 11
This record from Alexandria via LeMat-Bulk describes a geometry-optimized Pa2Ge4Ir3Rh structure. The functional is PBE.

Cell: 4.1846 4.1846 10.2481 Å, 90.00 90.00 90.00°
Positions (direct):
Pa 0.5000 0.0000 0.2515
Pa 0.0000 0.5000 0.7485
Ge 0.5000 0.5000 0.0000
Ge 0.0000 0.0000 0.0000
Ge 0.5000 0.0000 0.6333
Ge 0.0000 0.5000 0.3667
Ir 0.0000 0.0000 0.5000
Ir 0.5000 0.0000 0.8683
Ir 0.0000 0.5000 0.1317
Rh 0.5000 0.5000 0.5000

Properties
Fermi-level density of states, states/eV per cell: 4.224
Total magnetic moment, μB per formula unit: 0.0
SG: P-4m2 (115)

No. 12
This record from Alexandria via LeMat-Bulk describes a geometry-optimized Pa2Ge3Ir4Rh structure. The functional is PBE.

Cell: 3.9939 3.9939 11.3532 Å, 90.00 90.00 90.00°
Positions (direct):
Pa 0.5000 0.0000 0.2637
Pa 0.0000 0.5000 0.7363
Ge 0.0000 0.0000 0.5000
Ge 0.5000 0.0000 0.8765
Ge 0.0000 0.5000 0.1235
Ir 0.5000 0.5000 0.0000
Ir 0.0000 0.0000 0.0000
Ir 0.5000 0.0000 0.6653
Ir 0.0000 0.5000 0.3347
Rh 0.5000 0.5000 0.5000

Properties
Fermi-level density of states, states/eV per cell: 8.384
Total magnetic moment, μB per formula unit: 0.0
SG: P-4m2 (115)

Number 1: ΔE_f -2.510 eV per formula unit. Number 2: ΔE_f -5.840 eV per formula unit. Number 3: ΔE_f -1.410 eV per formula unit. Number 4: ΔE_f -2.243 eV per formula unit. Number 5: ΔE_f -4.184 eV per formula unit. Number 6: ΔE_f -3.729 eV per formula unit. Number 7: ΔE_f -6.026 eV per formula unit. Number 8: ΔE_f -6.446 eV per formula unit. Number 9: ΔE_f -7.323 eV per formula unit. Number 10: ΔE_f -3.368 eV per formula unit. Number 11: ΔE_f -7.020 eV per formula unit. Number 12: ΔE_f -6.205 eV per formula unit.